[1]
A relaxed structure of Cu2BO3. Source: Alexandria, functional PBE-GGA.

Lattice parameters (Å, degrees): 5.0797 5.0797 5.0797 149.40 65.82 123.29
Sites, in units of the cell vectors:
1 Cu 0.1469 0.0000 0.1469
2 Cu 0.8531 0.0000 0.8531
3 B 0.5207 0.0207 0.5000
4 O 0.3389 0.3389 0.0000
5 O 0.5390 0.1813 0.3577
6 O 0.8236 0.1813 0.6423

formation energy (no corrections) = -1.1263 eV/atom
energy = -36.50 eV per cell
size of the total moment = 0.17 μB per atom
symmetry = Imm2, No. 44

[2]
A relaxed structure of CuBPO2. Source: Alexandria, functional PBE-GGA.

Lattice parameters (Å, degrees): 3.1130 3.1130 7.1253 90.00 90.00 90.00
Sites, in units of the cell vectors:
1 Cu 0.0000 0.0000 0.0000
2 B 0.5000 0.5000 0.5000
3 P 0.5000 0.5000 0.0000
4 O 0.0000 0.5000 0.5000
5 O 0.5000 0.0000 0.5000

formation energy (no corrections) = -0.1093 eV/atom
energy = -26.65 eV per cell
size of the total moment = 0.00 μB per atom
symmetry = P4/mmm, No. 123

[3]
A relaxed structure of CuBPO2. Source: Alexandria, functional PBE-GGA.

Lattice parameters (Å, degrees): 3.5380 3.5380 4.9277 90.00 90.00 90.00
Sites, in units of the cell vectors:
1 Cu 0.0000 0.0000 0.0000
2 B 0.5000 0.5000 0.5000
3 P 0.0000 0.0000 0.5000
4 O 0.0000 0.5000 0.0000
5 O 0.5000 0.0000 0.0000

formation energy (no corrections) = 0.9354 eV/atom
energy = -21.42 eV per cell
size of the total moment = 0.00 μB per atom
symmetry = P4/mmm, No. 123

[4]
A relaxed structure of PaCu4B3O12. Source: Alexandria, functional PBE-GGA.

Lattice parameters (Å, degrees): 6.1268 6.1268 6.1268 109.47 109.47 109.47
Sites, in units of the cell vectors:
1 Pa 0.0000 0.0000 0.0000
2 Cu 0.0000 0.0000 0.5000
3 Cu 0.0000 0.5000 0.0000
4 Cu 0.5000 0.0000 0.0000
5 Cu 0.5000 0.5000 0.5000
6 B 0.0000 0.5000 0.5000
7 B 0.5000 0.0000 0.5000
8 B 0.5000 0.5000 0.0000
9 O 0.1511 0.3330 0.4841
10 O 0.1511 0.6670 0.8182
11 O 0.1818 0.8489 0.3330
12 O 0.3330 0.1818 0.8489
13 O 0.3330 0.4841 0.1511
14 O 0.4841 0.1511 0.3330
15 O 0.5159 0.8489 0.6670
16 O 0.6670 0.5159 0.8489
17 O 0.6670 0.8182 0.1511
18 O 0.8182 0.1511 0.6670
19 O 0.8489 0.3330 0.1818
20 O 0.8489 0.6670 0.5159

formation energy (no corrections) = -1.0750 eV/atom
energy = -126.91 eV per cell
size of the total moment = 0.00 μB per atom
symmetry = Im-3, No. 204

[5]
A relaxed structure of PaCuBO6. Source: Alexandria, functional PBE-GGA.

Lattice parameters (Å, degrees): 4.7499 4.7499 4.7145 90.00 90.00 120.00
Sites, in units of the cell vectors:
1 Pa 0.0000 0.0000 0.0000
2 Cu 0.3333 0.6667 0.5000
3 B 0.6667 0.3333 0.5000
4 O 0.3835 0.0363 0.7118
5 O 0.3835 0.3472 0.2882
6 O 0.6528 0.0363 0.2882
7 O 0.6528 0.6165 0.7118
8 O 0.9637 0.3472 0.7118
9 O 0.9637 0.6165 0.2882

formation energy (no corrections) = -1.7160 eV/atom
energy = -65.46 eV per cell
size of the total moment = 0.11 μB per atom
symmetry = P312, No. 149

[6]
A relaxed structure of PaCu3B4O12. Source: Alexandria, functional PBE-GGA.

Lattice parameters (Å, degrees): 6.1069 6.1069 6.1069 103.32 103.32 103.32
Sites, in units of the cell vectors:
1 Pa 0.0000 0.0000 0.0000
2 Cu 0.0000 0.5494 0.4506
3 Cu 0.4506 0.0000 0.5494
4 Cu 0.5494 0.4506 0.0000
5 B 0.0465 0.5000 0.9535
6 B 0.5000 0.5000 0.5000
7 B 0.5000 0.9535 0.0465
8 B 0.9535 0.0465 0.5000
9 O 0.0321 0.6458 0.8088
10 O 0.0952 0.9048 0.5000
11 O 0.1912 0.3542 0.9679
12 O 0.3542 0.9679 0.1912
13 O 0.3561 0.6439 0.5000
14 O 0.5000 0.0952 0.9048
15 O 0.5000 0.3561 0.6439
16 O 0.6439 0.5000 0.3561
17 O 0.6458 0.8088 0.0321
18 O 0.8088 0.0321 0.6458
19 O 0.9048 0.5000 0.0952
20 O 0.9679 0.1912 0.3542

formation energy (no corrections) = -1.8280 eV/atom
energy = -144.55 eV per cell
size of the total moment = 0.20 μB per atom
symmetry = R32, No. 155

[7]
A relaxed structure of PaCuBO5. Source: Alexandria, functional PBE-GGA.

Lattice parameters (Å, degrees): 5.3653 5.3653 6.4769 94.20 94.20 104.46
Sites, in units of the cell vectors:
1 Pa 0.1261 0.8739 0.7500
2 Pa 0.8739 0.1261 0.2500
3 Cu 0.5000 0.5000 0.0000
4 Cu 0.5000 0.5000 0.5000
5 B 0.2348 0.7652 0.2500
6 B 0.7652 0.2348 0.7500
7 O 0.0492 0.7990 0.0791
8 O 0.1803 0.5002 0.3206
9 O 0.2010 0.9508 0.4209
10 O 0.3710 0.6290 0.7500
11 O 0.5002 0.1803 0.8206
12 O 0.4998 0.8197 0.1794
13 O 0.6290 0.3710 0.2500
14 O 0.7990 0.0492 0.5791
15 O 0.8197 0.4998 0.6794
16 O 0.9508 0.2010 0.9209

formation energy (no corrections) = -2.4037 eV/atom
energy = -128.58 eV per cell
size of the total moment = 0.13 μB per atom
symmetry = C2/c, No. 15

[8]
A relaxed structure of PaCu2BO6. Source: Alexandria, functional PBE-GGA.

Lattice parameters (Å, degrees): 5.4432 5.4432 4.3805 90.00 90.00 90.00
Sites, in units of the cell vectors:
1 Pa 0.0000 0.0000 0.0000
2 Cu 0.0000 0.5000 0.2278
3 Cu 0.5000 0.0000 0.2278
4 B 0.5000 0.5000 0.9890
5 O 0.0000 0.0000 0.5361
6 O 0.2821 0.2821 0.1191
7 O 0.2821 0.7179 0.1191
8 O 0.5000 0.5000 0.6865
9 O 0.7179 0.2821 0.1191
10 O 0.7179 0.7179 0.1191

formation energy (no corrections) = -1.5264 eV/atom
energy = -69.38 eV per cell
size of the total moment = 0.05 μB per atom
symmetry = P4mm, No. 99

> energy of number 8 (PaCu2BO6)?

-69.38 eV per cell